## Cd2Cu (GGA-PBE)

Data for an optimized crystal structure of Cd2Cu.

DOS(E_F) (states/eV/cell): 1.1
Space group: I4/mmm (139)

Cell and atoms, written as extended XYZ:
```
3
Lattice="-1.598 1.598 5.369 1.598 -1.598 5.369 1.598 1.598 -5.369" Properties=species:S:1:pos:R:3 pbc="T T T"
Cd 0.000 0.000 1.616
Cd 0.000 0.000 9.122
Cu 0.000 0.000 5.369
```



## MnAs2Pt (GGA-PBE)

Data for an optimized crystal structure of MnAs2Pt.

Energy relative to the lowest polymorph listed for this composition (meV/atom): 136
DOS(E_F) (states/eV/cell): 1.7
Space group: Imm2 (44)

Cell and atoms, written as extended XYZ:
```
4
Lattice="-1.786 2.089 4.410 1.786 -2.089 4.410 1.786 2.089 -4.410" Properties=species:S:1:pos:R:3 pbc="T T T"
Mn 0.000 0.000 0.000
As 0.000 0.000 4.292
As 0.000 2.089 2.192
Pt 1.786 0.000 2.356
```



no.,energy of formation from the pure elements (eV/atom),spin magnetization (μB per atom)
1,0.0626,0.00
2,-0.0089,0.91